[1]
Entry from Alexandria via LeMat-Bulk: crystalline NaTbPmTl at its relaxed geometry (PBE). Values from VASP.

```
&SYSTEM
  ibrav = 0, nat = 4, ntyp = 4
/
ATOMIC_SPECIES
Na 22.99 Na.upf
Tb 158.93 Tb.upf
Pm 145.00 Pm.upf
Tl 204.38 Tl.upf
ATOMIC_POSITIONS crystal
Na 0.000 0.000 0.000
Tb 0.250 0.250 0.250
Pm 0.750 0.750 0.750
Tl 0.500 0.500 0.500
CELL_PARAMETERS angstrom
0.000 3.872 3.872
3.872 0.000 3.872
3.872 3.872 0.000
```

Values from the calculation:
crystal system = cubic
symmetry = F-43m, No. 216
E = -3.34 eV/atom
D(E_F) = 5.189 states/eV/cell
magnetic moment = 0.001 μB per cell
ΔE_f = -0.0736 eV per atom

***

[2]
Entry from Alexandria via LeMat-Bulk: crystalline NaPm2Tc at its relaxed geometry (PBE). Values from VASP.

```
&SYSTEM
  ibrav = 0, nat = 4, ntyp = 3
/
ATOMIC_SPECIES
Na 22.99 Na.upf
Pm 145.00 Pm.upf
Tc 98.00 Tc.upf
ATOMIC_POSITIONS crystal
Na 0.000 0.000 0.000
Pm 0.500 0.500 0.320
Pm 0.500 0.500 0.680
Tc 0.000 0.000 0.500
CELL_PARAMETERS angstrom
3.530 0.000 0.000
0.000 3.530 0.000
0.000 0.000 9.282
```

Values from the calculation:
crystal system = tetragonal
symmetry = P4/mmm, No. 123
E = -5.23 eV/atom
D(E_F) = 3.923 states/eV/cell
magnetic moment = 0.000 μB per cell
ΔE_f = 0.0659 eV per atom
distance to the lowest polymorph of the same formula = 0.000 eV per atom

***

[3]
Entry from Alexandria via LeMat-Bulk: crystalline NaPm2Tc at its relaxed geometry (PBE). Values from VASP.

```
&SYSTEM
  ibrav = 0, nat = 4, ntyp = 3
/
ATOMIC_SPECIES
Na 22.99 Na.upf
Pm 145.00 Pm.upf
Tc 98.00 Tc.upf
ATOMIC_POSITIONS crystal
Na 0.000 0.000 0.000
Pm 0.229 0.229 0.229
Pm 0.771 0.771 0.771
Tc 0.500 0.500 0.500
CELL_PARAMETERS angstrom
1.790 1.033 10.716
-1.790 1.033 10.716
0.000 -2.067 10.716
```

Values from the calculation:
crystal system = trigonal
symmetry = R-3m, No. 166
E = -5.03 eV/atom
D(E_F) = 2.786 states/eV/cell
magnetic moment = 0.000 μB per cell
ΔE_f = 0.2648 eV per atom
distance to the lowest polymorph of the same formula = 0.199 eV per atom

***

[4]
Entry from Alexandria via LeMat-Bulk: crystalline NaPmTe2 at its relaxed geometry (PBE). Values from VASP.

```
&SYSTEM
  ibrav = 0, nat = 4, ntyp = 3
/
ATOMIC_SPECIES
Na 22.99 Na.upf
Pm 145.00 Pm.upf
Te 127.60 Te.upf
ATOMIC_POSITIONS crystal
Na 0.000 0.000 0.000
Pm 0.500 0.500 0.500
Te 0.250 0.250 0.250
Te 0.750 0.750 0.750
CELL_PARAMETERS angstrom
0.000 3.890 3.890
3.890 0.000 3.890
3.890 3.890 0.000
```

Values from the calculation:
crystal system = cubic
symmetry = Fm-3m, No. 225
E = -4.18 eV/atom
D(E_F) = 0.000 states/eV/cell
magnetic moment = 0.000 μB per cell

***

[5]
Entry from Alexandria via LeMat-Bulk: crystalline Na2Pm2Te3 at its relaxed geometry (PBE). Values from VASP.

```
&SYSTEM
  ibrav = 0, nat = 7, ntyp = 3
/
ATOMIC_SPECIES
Na 22.99 Na.upf
Pm 145.00 Pm.upf
Te 127.60 Te.upf
ATOMIC_POSITIONS crystal
Na 0.116 0.116 0.415
Na 0.884 0.884 0.585
Pm 0.338 0.338 0.946
Pm 0.662 0.662 0.054
Te 0.000 0.000 0.000
Te 0.314 0.314 0.299
Te 0.686 0.686 0.701
CELL_PARAMETERS angstrom
7.288 -2.213 0.000
7.288 2.213 0.000
-3.568 0.000 7.606
```

Values from the calculation:
crystal system = monoclinic
symmetry = C2/m, No. 12
E = -4.11 eV/atom
D(E_F) = 5.124 states/eV/cell
magnetic moment = 0.002 μB per cell

***

[6]
Entry from Alexandria via LeMat-Bulk: crystalline NaPm6Te8 at its relaxed geometry (PBE). Values from VASP.

```
&SYSTEM
  ibrav = 0, nat = 15, ntyp = 3
/
ATOMIC_SPECIES
Na 22.99 Na.upf
Pm 145.00 Pm.upf
Te 127.60 Te.upf
ATOMIC_POSITIONS crystal
Na 0.000 0.000 0.000
Pm 0.000 0.000 0.500
Pm 0.000 0.500 0.000
Pm 0.000 0.500 0.500
Pm 0.500 0.000 0.000
Pm 0.500 0.000 0.500
Pm 0.500 0.500 0.000
Te 0.250 0.250 0.250
Te 0.255 0.255 0.745
Te 0.255 0.745 0.255
Te 0.255 0.745 0.745
Te 0.745 0.255 0.255
Te 0.745 0.255 0.745
Te 0.745 0.745 0.255
Te 0.750 0.750 0.750
CELL_PARAMETERS angstrom
0.000 6.302 6.302
6.302 0.000 6.302
6.302 6.302 0.000
```

Values from the calculation:
crystal system = cubic
symmetry = Fm-3m, No. 225
E = -5.06 eV/atom
D(E_F) = 4.237 states/eV/cell
magnetic moment = 0.000 μB per cell
distance to the lowest polymorph of the same formula = 0.000 eV per atom

***

[7]
Entry from Alexandria via LeMat-Bulk: crystalline NaPm4Te5 at its relaxed geometry (PBE). Values from VASP.

```
&SYSTEM
  ibrav = 0, nat = 10, ntyp = 3
/
ATOMIC_SPECIES
Na 22.99 Na.upf
Pm 145.00 Pm.upf
Te 127.60 Te.upf
ATOMIC_POSITIONS crystal
Na 0.000 0.000 0.000
Pm 0.200 0.200 0.200
Pm 0.402 0.402 0.402
Pm 0.598 0.598 0.598
Pm 0.800 0.800 0.800
Te 0.101 0.101 0.101
Te 0.298 0.298 0.298
Te 0.500 0.500 0.500
Te 0.702 0.702 0.702
Te 0.899 0.899 0.899
CELL_PARAMETERS angstrom
2.238 1.292 18.565
-2.238 1.292 18.565
0.000 -2.584 18.565
```

Values from the calculation:
crystal system = trigonal
symmetry = R-3m, No. 166
E = -4.98 eV/atom
D(E_F) = 5.285 states/eV/cell
magnetic moment = 0.000 μB per cell
distance to the lowest polymorph of the same formula = 0.009 eV per atom

***

[8]
Entry from Alexandria via LeMat-Bulk: crystalline NaPmTe4 at its relaxed geometry (PBE). Values from VASP.

```
&SYSTEM
  ibrav = 0, nat = 12, ntyp = 3
/
ATOMIC_SPECIES
Na 22.99 Na.upf
Pm 145.00 Pm.upf
Te 127.60 Te.upf
ATOMIC_POSITIONS crystal
Na 0.250 0.250 0.000
Na 0.750 0.750 0.000
Pm 0.250 0.250 0.500
Pm 0.750 0.750 0.500
Te 0.104 0.604 0.266
Te 0.104 0.896 0.734
Te 0.396 0.604 0.734
Te 0.396 0.896 0.266
Te 0.604 0.104 0.734
Te 0.604 0.396 0.266
Te 0.896 0.104 0.266
Te 0.896 0.396 0.734
CELL_PARAMETERS angstrom
6.875 0.000 0.000
0.000 6.875 0.000
0.000 0.000 8.249
```

Values from the calculation:
crystal system = tetragonal
symmetry = P4/nbm, No. 125
E = -3.98 eV/atom
D(E_F) = 1.323 states/eV/cell
magnetic moment = 0.000 μB per cell

***

[9]
Entry from Alexandria via LeMat-Bulk: crystalline NaPmTe2 at its relaxed geometry (PBE). Values from VASP.

```
&SYSTEM
  ibrav = 0, nat = 4, ntyp = 3
/
ATOMIC_SPECIES
Na 22.99 Na.upf
Pm 145.00 Pm.upf
Te 127.60 Te.upf
ATOMIC_POSITIONS crystal
Na 0.000 0.000 0.000
Pm 0.000 0.000 0.500
Te 0.500 0.500 0.270
Te 0.500 0.500 0.730
CELL_PARAMETERS angstrom
3.902 0.000 0.000
0.000 3.902 0.000
0.000 0.000 8.069
```

Values from the calculation:
crystal system = tetragonal
symmetry = P4/mmm, No. 123
E = -4.20 eV/atom
D(E_F) = 1.349 states/eV/cell
magnetic moment = 0.000 μB per cell

***

[10]
Entry from Alexandria via LeMat-Bulk: crystalline NaPm4Te6 at its relaxed geometry (PBE). Values from VASP.

```
&SYSTEM
  ibrav = 0, nat = 22, ntyp = 3
/
ATOMIC_SPECIES
Na 22.99 Na.upf
Pm 145.00 Pm.upf
Te 127.60 Te.upf
ATOMIC_POSITIONS crystal
Na 0.000 0.000 0.000
Na 0.500 0.500 0.500
Pm 0.145 0.750 0.355
Pm 0.250 0.250 0.250
Pm 0.250 0.645 0.855
Pm 0.355 0.145 0.750
Pm 0.645 0.855 0.250
Pm 0.750 0.355 0.145
Pm 0.750 0.750 0.750
Pm 0.855 0.250 0.645
Te 0.060 0.913 0.675
Te 0.087 0.325 0.940
Te 0.175 0.413 0.560
Te 0.325 0.940 0.087
Te 0.413 0.560 0.175
Te 0.440 0.825 0.587
Te 0.560 0.175 0.413
Te 0.587 0.440 0.825
Te 0.675 0.060 0.913
Te 0.825 0.587 0.440
Te 0.913 0.675 0.060
Te 0.940 0.087 0.325
CELL_PARAMETERS angstrom
6.285 3.628 4.987
-6.285 3.628 4.987
0.000 -7.257 4.987
```

Values from the calculation:
crystal system = trigonal
symmetry = R-3c, No. 167
E = -4.84 eV/atom
D(E_F) = 10.370 states/eV/cell
magnetic moment = 0.000 μB per cell

***

[11]
Entry from Alexandria via LeMat-Bulk: crystalline NaPmTe2 at its relaxed geometry (PBE). Values from VASP.

```
&SYSTEM
  ibrav = 0, nat = 4, ntyp = 3
/
ATOMIC_SPECIES
Na 22.99 Na.upf
Pm 145.00 Pm.upf
Te 127.60 Te.upf
ATOMIC_POSITIONS crystal
Na 0.000 0.000 0.000
Pm 0.831 0.831 0.831
Te 0.418 0.418 0.418
Te 0.579 0.579 0.579
CELL_PARAMETERS angstrom
2.195 1.267 8.010
-2.195 1.267 8.010
0.000 -2.535 8.010
```

Values from the calculation:
crystal system = trigonal
symmetry = R3m, No. 160
E = -4.34 eV/atom
magnetic moment = 0.000 μB per cell

***

[12]
Entry from Alexandria via LeMat-Bulk: crystalline NaPm6Te8 at its relaxed geometry (PBE). Values from VASP.

```
&SYSTEM
  ibrav = 0, nat = 15, ntyp = 3
/
ATOMIC_SPECIES
Na 22.99 Na.upf
Pm 145.00 Pm.upf
Te 127.60 Te.upf
ATOMIC_POSITIONS crystal
Na 0.000 0.000 0.000
Pm 0.135 0.650 0.750
Pm 0.350 0.485 0.750
Pm 0.485 0.135 0.250
Pm 0.515 0.865 0.750
Pm 0.650 0.515 0.250
Pm 0.865 0.350 0.250
Te 0.045 0.347 0.751
Te 0.302 0.955 0.751
Te 0.333 0.667 0.250
Te 0.347 0.302 0.249
Te 0.653 0.698 0.751
Te 0.667 0.333 0.750
Te 0.698 0.045 0.249
Te 0.955 0.653 0.249
CELL_PARAMETERS angstrom
11.909 0.000 0.000
-5.955 10.314 0.000
0.000 0.000 4.570
```

Values from the calculation:
crystal system = trigonal
symmetry = P-3, No. 147
E = -4.96 eV/atom
D(E_F) = 11.443 states/eV/cell
magnetic moment = 1.414 μB per cell
distance to the lowest polymorph of the same formula = 0.094 eV per atom

***

Question: Among the records above, which one has the highest magnetic moment?
Answer: number 12

***

Question: What is the magnetic moment in the third record?
Answer: 0.000 μB per cell